Material: SmPS4
Method: DFT, SCAN
State: PBEsol geometry

The size of the total moment is 0.000 μB per atom. As for the calculated total energy: -1613.3 eV per cell. Its crystal system is tetragonal. The value obtained for the calculated volume is 22.7 Å³ per atom. The formation energy from raw total energies comes out at -1246 meV per atom.

The structure belongs to space group I4_1/acd (No. 142, origin choice 2); the cell edges are 10.711, 10.711 and 18.983 Å and the angles 90.00°, 90.00° and 90.00°. The asymmetric unit holds Sm at (0.000, 0.250, 0.125), Sm at (0.000, 0.250, 0.375), P at (0.039, 0.000, 0.250), S at (0.068, 0.002, 0.839) and S at (0.088, 0.110, 0.002).

Material: CsAgBr3
Method: DFT, SCAN
State: PBEsol geometry

The size of the total moment is 0.000 μB per atom. As for the calculated total energy: -132.8 eV per cell. Its crystal system is cubic. The value obtained for the calculated volume is 30.3 Å³ per atom. The formation energy from raw total energies comes out at -1048 meV per atom.

The structure belongs to space group Pm-3m (No. 221); the cell edges are 5.332, 5.332 and 5.332 Å and the angles 90.00°, 90.00° and 90.00°. The asymmetric unit holds Cs at (0.000, 0.000, 0.000), Ag at (0.500, 0.500, 0.500) and Br at (0.000, 0.500, 0.500).

Material: MgCd2Ag
Method: DFT, SCAN
State: PBEsol geometry

The size of the total moment is 0.000 μB per atom. As for the calculated total energy: -195.3 eV per cell. Its crystal system is tetragonal. The value obtained for the calculated volume is 19.1 Å³ per atom. Its energy of formation is -0.120 eV per atom. The energy above the most stable polymorph in this dataset is 8 meV/atom.

The structure belongs to space group I4/mmm (No. 139); the cell edges are 4.215, 4.215 and 8.581 Å and the angles 90.00°, 90.00° and 90.00°. The asymmetric unit holds Mg at (0.000, 0.000, 0.000), Cd at (0.000, 0.500, 0.250) and Ag at (0.000, 0.000, 0.500).

Material: PmPrTl2
Method: DFT, SCAN
State: PBEsol geometry

The size of the total moment is 0.003 μB per atom. As for the calculated total energy: -937.8 eV per cell. Its crystal system is cubic. The value obtained for the calculated volume is 28.2 Å³ per atom. Its energy of formation is -0.603 eV per atom.

The structure belongs to space group Fm-3m (No. 225); the cell edges are 7.668, 7.668 and 7.668 Å and the angles 90.00°, 90.00° and 90.00°. The asymmetric unit holds Pm at (0.000, 0.000, 0.000), Pr at (0.000, 0.000, 0.500) and Tl at (0.250, 0.250, 0.250).

Material: TlCrHg
Method: DFT, SCAN
State: PBEsol geometry

The size of the total moment is 1.413 μB per atom. As for the calculated total energy: -158.0 eV per cell. Its crystal system is trigonal. The value obtained for the calculated volume is 21.1 Å³ per atom. Its energy of formation is 0.308 eV per atom.

The structure belongs to space group P3m1 (No. 156); the cell edges are 4.6759, 4.6759 and 3.3409 Å and the angles 90.00°, 90.00° and 120.00°. The asymmetric unit holds Tl at (0.0000, 0.0000, 0.0000), Cr at (0.6667, 0.3333, 0.3380) and Hg at (0.3333, 0.6667, 0.6107).

Material: TcOs2Au
Method: DFT, SCAN
State: PBEsol geometry

The size of the total moment is 0.000 μB per atom. As for the calculated total energy: -491.6 eV per cell. Its crystal system is orthorhombic. The value obtained for the calculated volume is 15.8 Å³ per atom. Its energy of formation is 0.539 eV per atom. The energy above the most stable polymorph in this dataset is 189 meV/atom.

The structure belongs to space group Imm2 (No. 44); the cell edges are 2.702, 4.418 and 10.574 Å and the angles 90.00°, 90.00° and 90.00°. The asymmetric unit holds Tc at (0.000, 0.000, 0.000), Os at (0.000, 0.000, 0.424), Os at (0.000, 0.500, 0.721) and Au at (0.000, 0.500, 0.168).

Material: P2Br
Method: DFT, SCAN
State: PBEsol geometry

The size of the total moment is 0.000 μB per atom. As for the calculated total energy: -161.7 eV per cell. Its crystal system is monoclinic. The value obtained for the calculated volume is 25.5 Å³ per atom. The formation energy from raw total energies comes out at -53 meV per atom.

The structure belongs to space group C2/m (No. 12); the cell edges are 16.278, 3.350 and 5.747 Å and the angles 90.00°, 102.24° and 90.00°. The asymmetric unit holds P at (0.026, 0.000, 0.334), P at (0.117, 0.500, 0.486) and Br at (0.190, 0.500, 0.196).

Material: YCoSi
Method: DFT, SCAN
State: PBEsol geometry

The size of the total moment is 0.000 μB per atom. As for the calculated total energy: -228.6 eV per cell. Its crystal system is orthorhombic. The value obtained for the calculated volume is 16.0 Å³ per atom. The formation energy from raw total energies comes out at -664 meV per atom.

The structure belongs to space group Pnma (No. 62); the cell edges are 6.864, 4.151 and 6.726 Å and the angles 90.00°, 90.00° and 90.00°. The asymmetric unit holds Y at (0.020, 0.250, 0.184), Co at (0.143, 0.750, 0.434) and Si at (0.193, 0.250, 0.609).

Material: HfAg2S3
Method: DFT, SCAN
State: PBEsol geometry

The size of the total moment is 0.000 μB per atom. As for the calculated total energy: -1278.3 eV per cell. Its crystal system is orthorhombic. The value obtained for the calculated volume is 19.3 Å³ per atom. The formation energy from raw total energies comes out at -917 meV per atom.

The structure belongs to space group Cmce (No. 64); the cell edges are 11.336, 6.604 and 12.385 Å and the angles 90.00°, 90.00° and 90.00°. The asymmetric unit holds Hf at (0.164, 0.000, 0.000), Ag at (0.000, 0.028, 0.316), Ag at (0.250, 0.098, 0.250), S at (0.000, 0.115, 0.875) and S at (0.171, 0.171, 0.605).

Material: B5H9
Method: DFT, SCAN
State: PBEsol geometry

The size of the total moment is 0.000 μB per atom. As for the calculated total energy: -138.4 eV per cell. Its crystal system is tetragonal. The value obtained for the calculated volume is 8.8 Å³ per atom. The energy above the most stable polymorph in this dataset is 2 meV/atom.

The structure belongs to space group I4mm (No. 107); the cell edges are 6.962, 6.962 and 5.092 Å and the angles 90.00°, 90.00° and 90.00°. The asymmetric unit holds B at (0.000, 0.000, 0.000), B at (0.000, 0.181, 0.779), H at (0.000, 0.000, 0.234), H at (0.000, 0.351, 0.805) and H at (0.137, 0.137, 0.600).

Material: KPbS2Cl
Method: DFT, SCAN
State: PBEsol geometry

The size of the total moment is 0.000 μB per atom. As for the calculated total energy: -114.5 eV per cell. Its crystal system is tetragonal. The value obtained for the calculated volume is 29.2 Å³ per atom. The formation energy from raw total energies comes out at -622 meV per atom.

The structure belongs to space group P4/mmm (No. 123); the cell edges are 5.134, 5.134 and 5.541 Å and the angles 90.00°, 90.00° and 90.00°. The asymmetric unit holds K at (0.000, 0.000, 0.000), Pb at (0.500, 0.500, 0.500), S at (0.000, 0.500, 0.500) and Cl at (0.500, 0.500, 0.000).

Material: Zn2SiMo
Method: DFT, SCAN
State: PBEsol geometry

The size of the total moment is 0.000 μB per atom. As for the calculated total energy: -71.7 eV per cell. Its crystal system is tetragonal. The value obtained for the calculated volume is 13.7 Å³ per atom. The formation energy from raw total energies comes out at 68 meV per atom.

The structure belongs to space group P4/mmm (No. 123); the cell edges are 3.569, 3.569 and 4.299 Å and the angles 90.00°, 90.00° and 90.00°. The asymmetric unit holds Zn at (0.000, 0.500, 0.000), Si at (0.000, 0.000, 0.500) and Mo at (0.500, 0.500, 0.500).